Entry 1:
A plane-wave DFT calculation with PBE-GGA was carried out for a relaxed Nd4DyTm3S8 crystal.

Structure (CIF):
```
data_Nd4DyTm3S8
_chemical_formula_sum 'Nd4 Dy1 Tm3 S8'
_cell_length_a 7.835
_cell_length_b 8.036
_cell_length_c 7.835
_cell_angle_alpha 119.18
_cell_angle_beta 120.00
_cell_angle_gamma 90.00
_space_group_name_H-M_alt 'P 1'
_space_group_IT_number 1
_space_group_name_Hall 'P 1'
loop_
_atom_site_label
_atom_site_fract_x
_atom_site_fract_y
_atom_site_fract_z
Nd1 0.000 0.000 0.000
S1 0.260 0.271 0.016
S2 0.755 0.271 0.016
Dy1 0.000 0.500 0.000
S3 0.740 0.729 0.984
Tm1 0.000 0.500 0.500
Tm2 0.500 0.500 0.500
S4 0.245 0.729 0.489
Nd2 0.500 0.000 0.500
S5 0.755 0.271 0.511
S6 0.245 0.729 0.984
S7 0.742 0.727 0.485
S8 0.258 0.273 0.515
Nd3 0.500 0.000 0.000
Tm3 0.500 0.500 0.000
Nd4 0.000 0.000 0.500
```

Entry 2:
A plane-wave DFT calculation with PBE-GGA was carried out for a relaxed Nd2DyTmS4 crystal.

Structure (CIF):
```
data_Nd2DyTmS4
_chemical_formula_sum 'Nd2 Dy1 Tm1 S4'
_cell_length_a 3.908
_cell_length_b 6.815
_cell_length_c 7.029
_cell_angle_alpha 108.66
_cell_angle_beta 90.00
_cell_angle_gamma 90.00
_space_group_name_H-M_alt 'P 1'
_space_group_IT_number 1
_space_group_name_Hall 'P 1'
loop_
_atom_site_label
_atom_site_fract_x
_atom_site_fract_y
_atom_site_fract_z
S1 0.000 0.747 0.232
Nd1 0.000 0.500 0.500
Nd2 0.500 0.000 0.500
S2 0.000 0.253 0.768
S3 0.500 0.760 0.770
S4 0.500 0.240 0.230
Tm1 0.000 0.000 0.000
Dy1 0.500 0.500 0.000
```

Entry 3:
A plane-wave DFT calculation with PBE-GGA was carried out for a relaxed NdDy4YS8 crystal.

Structure (CIF):
```
data_NdDy4YS8
_chemical_formula_sum 'Nd1 Dy4 Y1 S8'
_cell_length_a 8.097
_cell_length_b 8.097
_cell_length_c 8.100
_cell_angle_alpha 60.02
_cell_angle_beta 60.02
_cell_angle_gamma 60.00
_space_group_name_H-M_alt 'P 1'
_space_group_IT_number 1
_space_group_name_Hall 'P 1'
loop_
_atom_site_label
_atom_site_fract_x
_atom_site_fract_y
_atom_site_fract_z
Y1 0.999 0.999 0.002
S1 0.229 0.757 0.258
Dy1 0.999 0.502 0.499
Dy2 0.625 0.625 0.125
S2 0.783 0.240 0.738
S3 0.240 0.240 0.738
Dy3 0.502 0.999 0.499
S4 0.240 0.783 0.738
S5 0.757 0.757 0.729
S6 0.757 0.757 0.258
S7 0.239 0.239 0.284
S8 0.757 0.229 0.258
Dy4 0.999 0.999 0.499
Nd1 0.375 0.375 0.876
```

Entry 4:
A plane-wave DFT calculation with PBE-GGA was carried out for a relaxed Nd2DyYS6 crystal.

Structure (CIF):
```
data_Nd2DyYS6
_chemical_formula_sum 'Nd2 Dy1 Y1 S6'
_cell_length_a 7.063
_cell_length_b 7.063
_cell_length_c 7.432
_cell_angle_alpha 61.62
_cell_angle_beta 61.62
_cell_angle_gamma 60.00
_space_group_name_H-M_alt 'P 1'
_space_group_IT_number 1
_space_group_name_Hall 'P 1'
loop_
_atom_site_label
_atom_site_fract_x
_atom_site_fract_y
_atom_site_fract_z
Dy1 0.816 0.816 0.551
S1 0.933 0.608 0.258
S2 0.201 0.933 0.258
Y1 0.316 0.316 0.051
S3 0.702 0.107 0.757
S4 0.434 0.702 0.757
S5 0.107 0.434 0.757
Nd1 0.522 0.522 0.434
S6 0.608 0.201 0.258
Nd2 0.022 0.022 0.935
```

| no. | final energy (eV/atom) | E_form (uncorrected) (eV per atom) |
| --- | --- | --- |
| 1 | -6.375 | -1.99 |
| 2 | -6.390 | -2.00 |
| 3 | -6.406 | -1.93 |
| 4 | -6.575 | -2.04 |